{"formula": "SrRhSe2", "functional": "PBE", "state": "optimized geometry", "spacegroup": "Amm2, No. 38", "e_form_raw_ev_per_fu": -3.721, "vol_a3_per_cell": 105.2, "magnetic_moment_mub_per_fu": 0.00, "polymorph_energy_mev_per_atom": 0, "cell": [[-1.832, -4.259, 0.258], [4.258, -1.619, 3.514], [-0.989, 0.671, 4.065]], "species": ["Rh", "Se", "Se", "Sr"], "fractional_positions": [[0.500, 0.994, 0.815], [0.000, 0.849, 0.888], [0.500, 0.224, 0.200], [0.000, 0.433, 0.597]]}